Entry 1:
DFT (PBE) results for NiMoCl after structural relaxation.

Geometry as POSCAR:
```
NiMoCl
1.0
-1.435 1.435 6.380
1.435 -1.435 6.380
1.435 1.435 -6.380
Ni Mo Cl
1 1 1
direct
0.000 0.000 0.000 Ni
0.620 0.620 0.000 Mo
0.251 0.251 0.000 Cl
```

- Uncorrected formation energy: 245 meV per atom
- Total energy: -5.91 eV/atom
- Crystal system: tetragonal
- SG: I4mm (107)



Entry 2:
DFT (PBE) results for PmSn2As2Pd7 after structural relaxation.

Geometry as POSCAR:
```
PmSn2As2Pd7
1.0
3.014 -2.985 0.000
3.014 2.985 0.000
-1.273 0.000 12.587
Pm Sn As Pd
1 2 2 7
direct
0.000 0.000 0.000 Pm
0.062 0.062 0.337 Sn
0.938 0.938 0.663 Sn
0.445 0.445 0.718 As
0.555 0.555 0.282 As
0.031 0.535 0.168 Pd
0.278 0.278 0.528 Pd
0.465 0.969 0.832 Pd
0.500 0.500 0.000 Pd
0.535 0.031 0.168 Pd
0.722 0.722 0.472 Pd
0.969 0.465 0.832 Pd
```

- DFT formation energy: -0.440 eV/atom
- Total energy: -5.31 eV/atom
- Crystal system: monoclinic
- SG: C2/m (12)



Entry 3:
DFT (PBE) results for Y2BeCd after structural relaxation.

Geometry as POSCAR:
```
Y2BeCd
1.0
-2.174 2.174 4.935
2.174 -2.174 4.935
2.174 2.174 -4.935
Y Be Cd
2 1 1
direct
0.000 0.000 0.000 Y
0.750 0.250 0.500 Y
0.250 0.750 0.500 Be
0.500 0.500 0.000 Cd
```

- DFT formation energy: 0.139 eV/atom
- Total energy: -4.25 eV/atom
- Crystal system: tetragonal
- SG: I-4m2 (119)



Entry 4:
DFT (PBE) results for YScCdIn after structural relaxation.

Geometry as POSCAR:
```
YScCdIn
1.0
0.000 3.655 3.655
3.655 0.000 3.655
3.655 3.655 0.000
Y Sc Cd In
1 1 1 1
direct
0.000 0.000 0.000 Y
0.500 0.500 0.500 Sc
0.250 0.250 0.250 Cd
0.750 0.750 0.750 In
```

- DFT formation energy: -0.399 eV/atom
- Total energy: -4.51 eV/atom
- Crystal system: cubic
- SG: F-43m (216)



Entry 5:
DFT (PBE) results for Tm3InTe3 after structural relaxation.

Geometry as POSCAR:
```
Tm3InTe3
1.0
4.530 2.615 6.053
-4.530 2.615 6.053
0.000 -5.231 6.053
Tm In Te
6 2 6
direct
0.038 0.427 0.797 Tm
0.203 0.962 0.573 Tm
0.427 0.797 0.038 Tm
0.573 0.203 0.962 Tm
0.797 0.038 0.427 Tm
0.962 0.573 0.203 Tm
0.160 0.160 0.160 In
0.840 0.840 0.840 In
0.145 0.684 0.402 Te
0.316 0.598 0.855 Te
0.402 0.145 0.684 Te
0.598 0.855 0.316 Te
0.684 0.402 0.145 Te
0.855 0.316 0.598 Te
```

- Uncorrected formation energy: -844 meV per atom
- Total energy: -4.50 eV/atom
- Crystal system: trigonal
- SG: R-3 (148)



Entry 6:
DFT (PBE) results for CaZnCu2Hg after structural relaxation.

Geometry as POSCAR:
```
CaZnCu2Hg
1.0
5.427 0.000 0.000
0.000 5.427 0.000
0.000 0.000 6.141
Ca Zn Cu Hg
1 1 2 1
direct
0.000 0.000 0.000 Ca
0.500 0.500 0.500 Zn
0.000 0.500 0.000 Cu
0.500 0.000 0.000 Cu
0.000 0.000 0.500 Hg
```

- DFT formation energy: 0.869 eV/atom
- Total energy: -1.49 eV/atom
- Crystal system: tetragonal
- SG: P4/mmm (123)



Entry 7:
DFT (PBE) results for KPmSnHg after structural relaxation.

Geometry as POSCAR:
```
KPmSnHg
1.0
0.000 3.938 3.938
3.938 0.000 3.938
3.938 3.938 0.000
K Pm Sn Hg
1 1 1 1
direct
0.000 0.000 0.000 K
0.500 0.500 0.500 Pm
0.750 0.750 0.750 Sn
0.250 0.250 0.250 Hg
```

- DFT formation energy: -0.314 eV/atom
- Total energy: -2.85 eV/atom
- Crystal system: cubic
- SG: F-43m (216)



Entry 8:
DFT (PBE) results for CdAg4Au4 after structural relaxation.

Geometry as POSCAR:
```
CdAg4Au4
1.0
-4.426 4.426 2.089
4.426 -4.426 2.089
4.426 4.426 -2.089
Cd Ag Au
1 4 4
direct
0.000 0.000 0.000 Cd
0.333 0.333 0.665 Ag
0.333 0.667 0.000 Ag
0.667 0.333 0.000 Ag
0.667 0.667 0.335 Ag
0.000 0.333 0.333 Au
0.000 0.667 0.667 Au
0.333 0.000 0.333 Au
0.667 0.000 0.667 Au
```

- DFT formation energy: -0.063 eV/atom
- Total energy: -2.89 eV/atom
- Crystal system: tetragonal
- SG: I4/mmm (139)



Entry 9:
DFT (PBE) results for KH3Ru after structural relaxation.

Geometry as POSCAR:
```
KH3Ru
1.0
4.039 0.000 0.000
0.000 4.039 0.000
0.000 0.000 4.039
K H Ru
1 3 1
direct
0.000 0.000 0.000 K
0.000 0.000 0.500 H
0.000 0.500 0.000 H
0.500 0.000 0.000 H
0.500 0.500 0.500 Ru
```

- Total energy: -2.28 eV/atom
- Crystal system: cubic
- SG: Pm-3m (221)



Entry 10:
DFT (PBE) results for TcHgS3 after structural relaxation.

Geometry as POSCAR:
```
TcHgS3
1.0
4.684 0.000 0.000
0.000 4.684 0.000
0.000 0.000 4.684
Tc Hg S
1 1 3
direct
0.000 0.000 0.000 Tc
0.500 0.500 0.500 Hg
0.000 0.000 0.500 S
0.000 0.500 0.000 S
0.500 0.000 0.000 S
```

- Uncorrected formation energy: 234 meV per atom
- Total energy: -4.38 eV/atom
- Crystal system: cubic
- SG: Pm-3m (221)



Entry 11:
DFT (PBE) results for Sm2Mg4Sc after structural relaxation.

Geometry as POSCAR:
```
Sm2Mg4Sc
1.0
2.636 1.522 7.735
-2.636 1.522 7.735
0.000 -3.043 7.735
Sm Mg Sc
2 4 1
direct
0.213 0.213 0.213 Sm
0.787 0.787 0.787 Sm
0.069 0.069 0.069 Mg
0.363 0.363 0.363 Mg
0.637 0.637 0.637 Mg
0.931 0.931 0.931 Mg
0.500 0.500 0.500 Sc
```

- DFT formation energy: 0.027 eV/atom
- Total energy: -3.14 eV/atom
- Crystal system: trigonal
- SG: R-3m (166)



Entry 12:
DFT (PBE) results for LaZr2FeH after structural relaxation.

Geometry as POSCAR:
```
LaZr2FeH
1.0
4.831 0.000 0.000
0.000 4.831 0.000
0.000 0.000 4.440
La Zr Fe H
1 2 1 1
direct
0.000 0.000 0.000 La
0.000 0.500 0.500 Zr
0.500 0.000 0.500 Zr
0.500 0.500 0.500 Fe
0.500 0.500 0.000 H
```

- Total energy: -6.08 eV/atom
- Crystal system: tetragonal
- SG: P4/mmm (123)



Entry 13:
DFT (PBE) results for Ac2PmGa6 after structural relaxation.

Geometry as POSCAR:
```
Ac2PmGa6
1.0
7.536 0.000 0.000
-3.768 6.527 0.000
0.000 0.000 4.577
Ac Pm Ga
2 1 6
direct
0.333 0.667 0.000 Ac
0.667 0.333 0.000 Ac
0.000 0.000 0.000 Pm
0.000 0.329 0.500 Ga
0.000 0.671 0.500 Ga
0.329 0.000 0.500 Ga
0.329 0.329 0.500 Ga
0.671 0.000 0.500 Ga
0.671 0.671 0.500 Ga
```

- DFT formation energy: -0.638 eV/atom
- Total energy: -4.10 eV/atom
- Crystal system: hexagonal
- SG: P6/mmm (191)



Entry 14:
DFT (PBE) results for Ca3Sb after structural relaxation.

Geometry as POSCAR:
```
Ca3Sb
1.0
2.261 1.306 9.780
-2.261 1.306 9.780
0.000 -2.611 9.780
Ca Sb
3 1
direct
0.000 0.000 0.000 Ca
0.222 0.222 0.222 Ca
0.778 0.778 0.778 Ca
0.500 0.500 0.500 Sb
```

- Uncorrected formation energy: -391 meV per atom
- Total energy: -2.92 eV/atom
- Crystal system: trigonal
- SG: R-3m (166)



Entry 15:
DFT (PBE) results for Pm6CuOs2Cl3 after structural relaxation.

Geometry as POSCAR:
```
Pm6CuOs2Cl3
1.0
3.527 -6.113 0.000
3.527 6.113 0.000
-2.351 0.000 7.566
Pm Cu Os Cl
6 1 2 3
direct
0.083 0.431 0.793 Pm
0.221 0.221 0.207 Pm
0.431 0.083 0.793 Pm
0.569 0.917 0.207 Pm
0.779 0.779 0.793 Pm
0.917 0.569 0.207 Pm
0.500 0.500 0.000 Cu
0.166 0.834 0.000 Os
0.834 0.166 0.000 Os
0.000 0.000 0.500 Cl
0.328 0.672 0.500 Cl
0.672 0.328 0.500 Cl
```

- Uncorrected formation energy: -830 meV per atom
- Total energy: -5.88 eV/atom
- Crystal system: monoclinic
- SG: C2/m (12)



Entry 16:
DFT (PBE) results for YSc3 after structural relaxation.

Geometry as POSCAR:
```
YSc3
1.0
3.357 0.000 0.000
0.000 3.357 0.000
0.000 0.000 9.347
Y Sc
1 3
direct
0.000 0.000 0.000 Y
0.000 0.000 0.500 Sc
0.500 0.500 0.262 Sc
0.500 0.500 0.738 Sc
```

- DFT formation energy: 0.061 eV/atom
- Total energy: -6.30 eV/atom
- Crystal system: tetragonal
- SG: P4/mmm (123)



Entry 17:
DFT (PBE) results for Rb3PbF after structural relaxation.

Geometry as POSCAR:
```
Rb3PbF
1.0
5.797 0.000 0.000
0.000 5.797 0.000
0.000 0.000 5.797
Rb Pb F
3 1 1
direct
0.000 0.000 0.500 Rb
0.000 0.500 0.000 Rb
0.500 0.000 0.000 Rb
0.500 0.500 0.500 Pb
0.000 0.000 0.000 F
```

- Uncorrected formation energy: -1028 meV per atom
- Total energy: -2.72 eV/atom
- Crystal system: cubic
- SG: Pm-3m (221)



Entry 18:
DFT (PBE) results for NdInSnBr6 after structural relaxation.

Geometry as POSCAR:
```
NdInSnBr6
1.0
7.656 0.000 0.000
-3.828 6.630 0.000
0.000 0.000 14.225
Nd In Sn Br
2 2 2 12
direct
0.333 0.667 0.250 Nd
0.667 0.333 0.750 Nd
0.000 0.000 0.000 In
0.000 0.000 0.500 In
0.333 0.667 0.750 Sn
0.667 0.333 0.250 Sn
0.009 0.367 0.133 Br
0.009 0.642 0.367 Br
0.358 0.367 0.367 Br
0.358 0.991 0.133 Br
0.367 0.009 0.633 Br
0.367 0.358 0.867 Br
0.633 0.642 0.133 Br
0.633 0.991 0.367 Br
0.642 0.009 0.867 Br
0.642 0.633 0.633 Br
0.991 0.358 0.633 Br
0.991 0.633 0.867 Br
```

- Uncorrected formation energy: -1247 meV per atom
- Total energy: -3.64 eV/atom
- Crystal system: trigonal
- SG: P-31c (163)



Entry 19:
DFT (PBE) results for YZn2Ru after structural relaxation.

Geometry as POSCAR:
```
YZn2Ru
1.0
7.504 0.000 0.000
0.000 7.291 0.000
0.000 0.000 5.417
Y Zn Ru
4 8 4
direct
0.044 0.250 0.107 Y
0.456 0.750 0.607 Y
0.544 0.250 0.393 Y
0.956 0.750 0.893 Y
0.167 0.055 0.593 Zn
0.167 0.445 0.593 Zn
0.333 0.555 0.093 Zn
0.333 0.945 0.093 Zn
0.667 0.055 0.907 Zn
0.667 0.445 0.907 Zn
0.833 0.555 0.407 Zn
0.833 0.945 0.407 Zn
0.123 0.750 0.356 Ru
0.377 0.250 0.856 Ru
0.623 0.750 0.144 Ru
0.877 0.250 0.644 Ru
```

- DFT formation energy: -0.318 eV/atom
- Total energy: -4.89 eV/atom
- Crystal system: orthorhombic
- SG: Pnma (62)



Entry 20:
DFT (PBE) results for NaIBr6 after structural relaxation.

Geometry as POSCAR:
```
NaIBr6
1.0
6.451 -4.719 0.000
6.451 4.719 0.000
-1.070 0.000 11.192
Na I Br
2 2 12
direct
0.080 0.920 0.750 Na
0.920 0.080 0.250 Na
0.000 0.500 0.500 I
0.500 0.000 0.000 I
0.157 0.178 0.952 Br
0.178 0.157 0.452 Br
0.201 0.673 0.320 Br
0.228 0.527 0.685 Br
0.327 0.799 0.180 Br
0.473 0.772 0.815 Br
0.527 0.228 0.185 Br
0.673 0.201 0.820 Br
0.772 0.473 0.315 Br
0.799 0.327 0.680 Br
0.822 0.843 0.548 Br
0.843 0.822 0.048 Br
```

- Uncorrected formation energy: -345 meV per atom
- Total energy: -1.96 eV/atom
- Crystal system: monoclinic
- SG: C2/c (15)